(1)
VASP calculation (PBE-GGA) on a geometry-optimized Ac2InGe3Pt4 structure.

Cell: 4.5168 4.5168 10.5256 Å, 90.00 90.00 90.00°
Closest atoms and distances in Å follow each position.
Positions (direct):
Ac1 0.0000 0.5000 0.2430  8 Pt 3.41, 7 Ge 3.45-3.82, 2 In 3.52
Ac2 0.5000 0.0000 0.7570  8 Pt 3.41, 7 Ge 3.45-3.82, 2 In 3.52
In1 0.0000 0.0000 0.5000  4 Pt 2.71
Ge1 0.0000 0.5000 0.8805  5 Pt 2.50-2.58
Ge2 0.5000 0.0000 0.1195  5 Pt 2.50-2.58
Ge3 0.5000 0.5000 0.5000  4 Pt 2.71
Pt1 0.0000 0.0000 0.0000  4 Ge 2.58
Pt2 0.0000 0.5000 0.6426  3 Ge 2.50-2.71, 2 In 2.71
Pt3 0.5000 0.0000 0.3574  3 Ge 2.50-2.71, 2 In 2.71
Pt4 0.5000 0.5000 0.0000  4 Ge 2.58

As for the mass density: 12.1 g/cm³. As for the space group: P-4m2 (115). The value obtained for the energy relative to the elements is -0.903 eV/atom. As for the total magnetization: 0.00 Bohr magnetons per cell.

---

(2)
VASP calculation (PBE-GGA) on a geometry-optimized Ac3InGe2Pt9 structure.

Cell: 5.9640 5.9640 11.6467 Å, 90.00 90.00 120.00°
Closest atoms and distances in Å follow each position.
Positions (direct):
Ac1 0.0000 0.0000 0.0000  6 Pt 2.98
Ac2 0.3333 0.6667 0.7468  9 Pt 3.05-3.41
Ac3 0.6667 0.3333 0.2532  9 Pt 3.05-3.41
In1 0.0000 0.0000 0.5000  6 Pt 2.77
Ge1 0.3333 0.6667 0.1626  6 Pt 2.48-2.56
Ge2 0.6667 0.3333 0.8374  6 Pt 2.48-2.56
Pt1 0.0000 0.5000 0.0000  2 Ge 2.56
Pt2 0.1575 0.3150 0.3078  1 Ge 2.48, 1 In 2.77
Pt3 0.1575 0.8425 0.3078  1 Ge 2.48, 1 In 2.77
Pt4 0.3150 0.1575 0.6922  1 Ge 2.48, 1 In 2.77
Pt5 0.5000 0.0000 0.0000  2 Ge 2.56
Pt6 0.5000 0.5000 0.0000  2 Ge 2.56
Pt7 0.6850 0.8425 0.3078  1 Ge 2.48, 1 In 2.77
Pt8 0.8425 0.1575 0.6922  1 Ge 2.48, 1 In 2.77
Pt9 0.8425 0.6850 0.6922  1 Ge 2.48, 1 In 2.77

As for the mass density: 12.5 g/cm³. As for the space group: P-3m1 (164). The value obtained for the energy relative to the elements is -0.697 eV/atom. As for the total magnetization: 0.00 Bohr magnetons per cell.

---

(3)
VASP calculation (PBE-GGA) on a geometry-optimized Ac3In2Ge2Pt4 structure.

Cell: 4.5271 4.5271 15.6654 Å, 90.00 90.00 120.00°
Closest atoms and distances in Å follow each position.
Positions (direct):
Ac1 0.0000 0.0000 0.0000  6 Pt 3.34, 6 Ge 3.41
Ac2 0.0000 0.0000 0.2692  6 Pt 3.16-3.37, 3 Ge 3.30
Ac3 0.0000 0.0000 0.7308  6 Pt 3.16-3.37, 3 Ge 3.30
In1 0.3333 0.6667 0.5611  4 Pt 2.76-2.79
In2 0.6667 0.3333 0.4389  4 Pt 2.76-2.79
Ge1 0.3333 0.6667 0.1403  3 Pt 2.62
Ge2 0.6667 0.3333 0.8597  3 Pt 2.62
Pt1 0.3333 0.6667 0.3828  4 In 2.76-2.79
Pt2 0.3333 0.6667 0.8670  3 Ge 2.62
Pt3 0.6667 0.3333 0.1330  3 Ge 2.62
Pt4 0.6667 0.3333 0.6172  4 In 2.76-2.79

As for the mass density: 11.0 g/cm³. As for the space group: P-3m1 (164). The value obtained for the energy relative to the elements is -0.905 eV/atom. As for the total magnetization: 0.00 Bohr magnetons per cell.

---

(4)
VASP calculation (PBE-GGA) on a geometry-optimized Ac2InGe4Pt3 structure.

Cell: 4.4683 4.4683 10.7779 Å, 90.00 90.00 90.00°
Closest atoms and distances in Å follow each position.
Positions (direct):
Ac1 0.0000 0.5000 0.2394  8 Ge 3.39-3.41, 6 Pt 3.42-3.59, 2 In 3.59
Ac2 0.5000 0.0000 0.7606  8 Ge 3.39-3.41, 6 Pt 3.42-3.59, 2 In 3.59
In1 0.0000 0.0000 0.5000  4 Ge 2.74
Ge1 0.0000 0.0000 0.0000  4 Pt 2.57
Ge2 0.0000 0.5000 0.6475  3 Pt 2.52-2.74, 2 In 2.74
Ge3 0.5000 0.0000 0.3525  3 Pt 2.52-2.74, 2 In 2.74
Ge4 0.5000 0.5000 0.0000  4 Pt 2.57
Pt1 0.0000 0.5000 0.8813  5 Ge 2.52-2.57
Pt2 0.5000 0.0000 0.1187  5 Ge 2.52-2.57
Pt3 0.5000 0.5000 0.5000  4 Ge 2.74

As for the mass density: 11.1 g/cm³. As for the space group: P-4m2 (115). The value obtained for the energy relative to the elements is -0.830 eV/atom. As for the total magnetization: 0.00 Bohr magnetons per cell.

---

(5)
VASP calculation (PBE-GGA) on a geometry-optimized AcInGePt structure.

Cell: 5.1491 5.1491 5.1491 Å, 60.00 60.00 60.00°
Closest atoms and distances in Å follow each position.
Positions (direct):
Ac1 0.0000 0.0000 0.0000  4 Pt 3.15, 4 Ge 3.15
In1 0.5000 0.5000 0.5000  4 Pt 3.15, 4 Ge 3.15
Ge1 0.2500 0.2500 0.2500  4 Ac 3.15, 4 In 3.15
Pt1 0.7500 0.7500 0.7500  4 Ac 3.15, 4 In 3.15

As for the mass density: 10.5 g/cm³. As for the space group: F-43m (216). The value obtained for the energy relative to the elements is -0.518 eV/atom. As for the total magnetization: 0.00 Bohr magnetons per cell.

---

(6)
VASP calculation (PBE-GGA) on a geometry-optimized AcPuInGe structure.

Cell: 5.4618 5.4618 5.4618 Å, 60.00 60.00 60.00°
Closest atoms and distances in Å follow each position.
Positions (direct):
Ac1 0.0000 0.0000 0.0000  4 Ge 3.34, 4 In 3.34
Pu1 0.5000 0.5000 0.5000  4 Ge 3.34, 4 In 3.34
In1 0.2500 0.2500 0.2500  4 Ac 3.34, 4 Pu 3.34
Ge1 0.7500 0.7500 0.7500  4 Ac 3.34, 4 Pu 3.34

As for the mass density: 9.5 g/cm³. As for the space group: F-43m (216). The value obtained for the energy relative to the elements is -0.255 eV/atom. As for the total magnetization: 6.01 Bohr magnetons per cell.

---

(7)
VASP calculation (PBE-GGA) on a geometry-optimized AcIn2GeRh2 structure.

Cell: 4.7418 4.7418 6.1767 Å, 90.00 90.00 90.00°
Closest atoms and distances in Å follow each position.
Positions (direct):
Ac1 0.0000 0.0000 0.0000  2 Ge 3.09
In1 0.5000 0.5000 0.2466  4 Rh 2.84, 2 In 3.05-3.13
In2 0.5000 0.5000 0.7534  4 Rh 2.84, 2 In 3.05-3.13
Ge1 0.0000 0.0000 0.5000  4 Rh 2.37
Rh1 0.0000 0.5000 0.5000  2 Ge 2.37
Rh2 0.5000 0.0000 0.5000  2 Ge 2.37

As for the mass density: 8.8 g/cm³. As for the space group: P4/mmm (123). The value obtained for the energy relative to the elements is -0.455 eV/atom. As for the total magnetization: 0.00 Bohr magnetons per cell.

---

(8)
VASP calculation (PBE-GGA) on a geometry-optimized Ac3In2Ge2Rh4 structure.

Cell: 4.4022 4.4022 15.8885 Å, 90.00 90.00 120.00°
Closest atoms and distances in Å follow each position.
Positions (direct):
Ac1 0.0000 0.0000 0.0000  6 Ge 3.33, 6 Rh 3.41
Ac2 0.0000 0.0000 0.2727  6 Rh 3.08-3.27, 3 Ge 3.35
Ac3 0.0000 0.0000 0.7273  6 Rh 3.08-3.27, 3 Ge 3.35
In1 0.3333 0.6667 0.5583  4 Rh 2.71-2.79
In2 0.6667 0.3333 0.4417  4 Rh 2.71-2.79
Ge1 0.3333 0.6667 0.1353  3 Rh 2.54
Ge2 0.6667 0.3333 0.8647  3 Rh 2.54
Rh1 0.3333 0.6667 0.3825  4 In 2.71-2.79
Rh2 0.3333 0.6667 0.8566  3 Ge 2.54
Rh3 0.6667 0.3333 0.1434  3 Ge 2.54
Rh4 0.6667 0.3333 0.6175  4 In 2.71-2.79

As for the mass density: 9.1 g/cm³. As for the space group: P-3m1 (164). The value obtained for the energy relative to the elements is -0.633 eV/atom. As for the total magnetization: 0.00 Bohr magnetons per cell.

---

(9)
VASP calculation (PBE-GGA) on a geometry-optimized AcIn2GeRh4 structure.

Cell: 9.2111 9.2111 9.2111 Å, 28.25 28.25 28.25°
Closest atoms and distances in Å follow each position.
Positions (direct):
Ac1 0.0000 0.0000 0.0000  8 Rh 3.25-3.60, 6 In 3.57
In1 0.2409 0.2409 0.2409  7 Rh 2.64-2.84
In2 0.7591 0.7591 0.7591  7 Rh 2.64-2.84
Ge1 0.5000 0.5000 0.5000  8 Rh 2.46-2.72
Rh1 0.1358 0.1358 0.1358  3 Ge 2.72, 4 In 2.79-2.84
Rh2 0.4074 0.4074 0.4074  1 Ge 2.46, 3 In 2.64
Rh3 0.5926 0.5926 0.5926  1 Ge 2.46, 3 In 2.64
Rh4 0.8642 0.8642 0.8642  3 Ge 2.72, 4 In 2.79-2.84

As for the mass density: 10.1 g/cm³. As for the space group: R-3m (166). The value obtained for the energy relative to the elements is -0.502 eV/atom. As for the total magnetization: 0.00 Bohr magnetons per cell.

---

(10)
VASP calculation (PBE-GGA) on a geometry-optimized AcInGe2Rh5 structure.

Cell: 4.1881 4.1881 10.5394 Å, 90.00 90.00 90.00°
Closest atoms and distances in Å follow each position.
Positions (direct):
Ac1 0.0000 0.0000 0.0000  4 Rh 2.96
In1 0.0000 0.0000 0.5000  8 Rh 2.69
Ge1 0.5000 0.5000 0.2275  5 Rh 2.40-2.41
Ge2 0.5000 0.5000 0.7725  5 Rh 2.40-2.41
Rh1 0.0000 0.5000 0.3404  2 Ge 2.41, 2 In 2.69
Rh2 0.0000 0.5000 0.6596  2 Ge 2.41, 2 In 2.69
Rh3 0.5000 0.0000 0.3404  2 Ge 2.41, 2 In 2.69
Rh4 0.5000 0.0000 0.6596  2 Ge 2.41, 2 In 2.69
Rh5 0.5000 0.5000 0.0000  2 Ge 2.40

As for the mass density: 9.0 g/cm³. As for the space group: P4/mmm (123). The value obtained for the energy relative to the elements is -0.380 eV/atom. As for the total magnetization: 0.00 Bohr magnetons per cell.

---

(11)
VASP calculation (PBE-GGA) on a geometry-optimized AcInGeSb structure.

Cell: 5.4630 5.4630 5.4630 Å, 60.00 60.00 60.00°
Closest atoms and distances in Å follow each position.
Positions (direct):
Ac1 0.0000 0.0000 0.0000  4 Ge 3.35, 4 In 3.35
In1 0.2500 0.2500 0.2500  4 Sb 3.35, 4 Ac 3.35
Ge1 0.7500 0.7500 0.7500  4 Sb 3.35, 4 Ac 3.35
Sb1 0.5000 0.5000 0.5000  4 In 3.35, 4 Ge 3.35

As for the mass density: 7.7 g/cm³. As for the space group: F-43m (216). The value obtained for the formation energy (no corrections) is -172 meV per atom. As for the total magnetization: 0.00 Bohr magnetons per cell.

---

(12)
VASP calculation (PBE-GGA) on a geometry-optimized AcInSnGe structure.

Cell: 5.4512 5.4512 5.4512 Å, 60.00 60.00 60.00°
Closest atoms and distances in Å follow each position.
Positions (direct):
Ac1 0.0000 0.0000 0.0000  4 Ge 3.34, 4 In 3.34
In1 0.7500 0.7500 0.7500  4 Sn 3.34, 4 Ac 3.34
Sn1 0.5000 0.5000 0.5000  4 In 3.34, 4 Ge 3.34
Ge1 0.2500 0.2500 0.2500  4 Sn 3.34, 4 Ac 3.34

As for the mass density: 7.7 g/cm³. As for the space group: F-43m (216). The value obtained for the energy relative to the elements is -0.190 eV/atom. As for the total magnetization: 0.00 Bohr magnetons per cell.

---

What is the mass density in the eighth record?
9.1 g/cm³

---

What did the sixth record say?
VASP calculation (PBE-GGA) on a geometry-optimized AcPuInGe structure.

Cell: 5.4618 5.4618 5.4618 Å, 60.00 60.00 60.00°
Closest atoms and distances in Å follow each position.
Positions (direct):
Ac1 0.0000 0.0000 0.0000  4 Ge 3.34, 4 In 3.34
Pu1 0.5000 0.5000 0.5000  4 Ge 3.34, 4 In 3.34
In1 0.2500 0.2500 0.2500  4 Ac 3.34, 4 Pu 3.34
Ge1 0.7500 0.7500 0.7500  4 Ac 3.34, 4 Pu 3.34

As for the mass density: 9.5 g/cm³. As for the space group: F-43m (216). The value obtained for the energy relative to the elements is -0.255 eV/atom. As for the total magnetization: 6.01 Bohr magnetons per cell.